P.
# HfTlAgS3

A geometry-optimized HfTlAgS3 structure (PBE, the Open Quantum Materials Database).

a = 10.4825 Å, b = 3.7412 Å, c = 14.3549 Å
α = 90.00°, β = 90.00°, γ = 90.00°
With the nearest neighbours (Å) after each atom.
Fractional positions:
Ag1 0.2546 0.2500 0.1707  4 S 2.46-2.66
Ag2 0.7546 0.2500 0.3293  4 S 2.46-2.66
Ag3 0.2454 0.7500 0.6707  4 S 2.46-2.66
Ag4 0.7454 0.7500 0.8293  4 S 2.46-2.66
Hf1 0.9770 0.7500 0.2456  5 S 2.43-2.58
Hf2 0.4770 0.7500 0.2544  5 S 2.43-2.58
Hf3 0.5230 0.2500 0.7456  5 S 2.43-2.58
Hf4 0.0230 0.2500 0.7544  5 S 2.43-2.58
S1 0.0276 0.2500 0.1274  1 Ag 2.46, 2 Hf 2.58
S2 0.4831 0.2500 0.1312  1 Ag 2.46, 2 Hf 2.57
S3 0.7543 0.7500 0.1976  1 Hf 2.43, 2 Ag 2.66
S4 0.2543 0.7500 0.3024  1 Hf 2.43, 2 Ag 2.66
S5 0.9831 0.2500 0.3688  1 Ag 2.46, 2 Hf 2.57
S6 0.5276 0.2500 0.3726  1 Ag 2.46, 2 Hf 2.58
S7 0.4724 0.7500 0.6274  1 Ag 2.46, 2 Hf 2.58
S8 0.0169 0.7500 0.6312  1 Ag 2.46, 2 Hf 2.57
S9 0.7457 0.2500 0.6976  1 Hf 2.43, 2 Ag 2.66
S10 0.2457 0.2500 0.8024  1 Hf 2.43, 2 Ag 2.66
S11 0.5169 0.7500 0.8688  1 Ag 2.46, 2 Hf 2.57
S12 0.9724 0.7500 0.8726  1 Ag 2.46, 2 Hf 2.58
Tl1 0.7585 0.2500 0.0257  4 S 3.10-3.26, 2 Ag 3.39
Tl2 0.2585 0.2500 0.4743  4 S 3.10-3.26, 2 Ag 3.39
Tl3 0.7415 0.7500 0.5257  4 S 3.10-3.26, 2 Ag 3.39
Tl4 0.2415 0.7500 0.9743  4 S 3.10-3.26, 2 Ag 3.39

Results
- calculated volume (Å³/cell) = 562.95


Q.
# HfTlAgS3

A geometry-optimized HfTlAgS3 structure (PBE, the Open Quantum Materials Database).

a = 8.4971 Å, b = 8.4971 Å, c = 9.1659 Å
α = 99.13°, β = 99.13°, γ = 25.15°
With the nearest neighbours (Å) after each atom.
Fractional positions:
Ag1 0.4838 0.4838 0.2727  4 S 2.56-2.77
Ag2 0.5162 0.5162 0.7273  4 S 2.56-2.77
Hf1 0.8386 0.8386 0.4275  6 S 2.51-2.65
Hf2 0.1614 0.1614 0.5725  6 S 2.51-2.65
S1 0.5000 0.5000 0.0000  2 Ag 2.56
S2 0.3268 0.3268 0.2407  2 Hf 2.51, 1 Ag 2.57
S3 0.6780 0.6780 0.3819  3 Hf 2.59-2.63
S4 0.0000 0.0000 0.5000  2 Hf 2.65, 4 Ag 2.77
S5 0.3220 0.3220 0.6181  3 Hf 2.59-2.63
S6 0.6732 0.6732 0.7593  2 Hf 2.51, 1 Ag 2.57
Tl1 0.1368 0.1368 0.0565  2 S 2.91
Tl2 0.8632 0.8632 0.9435  2 S 2.91

Results
- calculated volume (Å³/cell) = 277.54


Which of them is the most stable? Correct choice: P.


P.
# HfTlAgS3

A geometry-optimized HfTlAgS3 structure (PBE, the Open Quantum Materials Database).

a = 11.9820 Å, b = 3.7501 Å, c = 12.2473 Å
α = 90.00°, β = 90.00°, γ = 90.00°
With the nearest neighbours (Å) after each atom.
Fractional positions:
Ag1 0.2559 0.7500 0.1837  4 S 2.53-2.66
Ag2 0.7559 0.7500 0.3163  4 S 2.53-2.66
Ag3 0.2441 0.2500 0.6837  4 S 2.53-2.66
Ag4 0.7441 0.2500 0.8163  4 S 2.53-2.66
Hf1 0.9595 0.2500 0.1540  5 S 2.42-2.63
Hf2 0.4595 0.2500 0.3460  5 S 2.42-2.63
Hf3 0.5405 0.7500 0.6540  5 S 2.42-2.63
Hf4 0.0405 0.7500 0.8460  5 S 2.42-2.63
S1 0.0836 0.7500 0.0639  1 Ag 2.53, 3 Hf 2.63-2.72
S2 0.7579 0.2500 0.1621  1 Hf 2.42, 2 Ag 2.66
S3 0.4748 0.7500 0.2030  2 Hf 2.57, 1 Ag 2.63
S4 0.9748 0.7500 0.2970  2 Hf 2.57, 1 Ag 2.63
S5 0.2579 0.2500 0.3379  1 Hf 2.42, 2 Ag 2.66
S6 0.5836 0.7500 0.4361  1 Ag 2.53, 3 Hf 2.63-2.72
S7 0.4164 0.2500 0.5639  1 Ag 2.53, 3 Hf 2.63-2.72
S8 0.7421 0.7500 0.6621  1 Hf 2.42, 2 Ag 2.66
S9 0.0252 0.2500 0.7030  2 Hf 2.57, 1 Ag 2.63
S10 0.5252 0.2500 0.7970  2 Hf 2.57, 1 Ag 2.63
S11 0.2421 0.7500 0.8379  1 Hf 2.42, 2 Ag 2.66
S12 0.9164 0.2500 0.9361  1 Ag 2.53, 3 Hf 2.63-2.72
Tl1 0.6501 0.7500 0.0113  3 S 2.93-3.15, 2 Ag 3.24
Tl2 0.1501 0.7500 0.4887  3 S 2.93-3.15, 2 Ag 3.24
Tl3 0.8499 0.2500 0.5113  3 S 2.93-3.15, 2 Ag 3.24
Tl4 0.3499 0.2500 0.9887  3 S 2.93-3.15, 2 Ag 3.24

Results
- calculated volume (Å³/cell) = 550.31


Q.
# HfTlAgS3

A geometry-optimized HfTlAgS3 structure (PBE, the Open Quantum Materials Database).

a = 3.7680 Å, b = 7.4145 Å, c = 10.2228 Å
α = 90.00°, β = 90.00°, γ = 75.28°
With the nearest neighbours (Å) after each atom.
Fractional positions:
Ag1 0.4245 0.1511 0.2500  4 S 2.45-2.62
Ag2 0.5755 0.8489 0.7500  4 S 2.45-2.62
Hf1 0.0000 0.0000 0.0000  6 S 2.58-2.66
Hf2 0.0000 0.0000 0.5000  6 S 2.58-2.66
S1 0.3775 0.2450 0.0198  1 Ag 2.45, 2 Hf 2.58
S2 0.0514 0.8971 0.2500  2 Ag 2.62, 2 Hf 2.66
S3 0.3775 0.2450 0.4802  1 Ag 2.45, 2 Hf 2.58
S4 0.6225 0.7550 0.5198  1 Ag 2.45, 2 Hf 2.58
S5 0.9485 0.1029 0.7500  2 Ag 2.62, 2 Hf 2.66
S6 0.6225 0.7550 0.9802  1 Ag 2.45, 2 Hf 2.58
Tl1 0.7264 0.5472 0.2500  4 S 3.13-3.14, 2 Ag 3.41
Tl2 0.2736 0.4528 0.7500  4 S 3.13-3.14, 2 Ag 3.41

Results
- calculated volume (Å³/cell) = 276.23


R.
# HfTlAgS3

A geometry-optimized HfTlAgS3 structure (PBE, the Open Quantum Materials Database).

a = 7.3798 Å, b = 4.0264 Å, c = 17.1232 Å
α = 90.00°, β = 90.00°, γ = 90.00°
With the nearest neighbours (Å) after each atom.
Fractional positions:
Ag1 0.5367 0.2500 0.1753  4 S 2.60-2.71
Ag2 0.0367 0.2500 0.3247  4 S 2.60-2.71
Ag3 0.9633 0.7500 0.6753  4 S 2.60-2.71
Ag4 0.4633 0.7500 0.8247  4 S 2.60-2.71
Hf1 0.2463 0.2500 0.0403  7 S 2.49-2.75
Hf2 0.7463 0.2500 0.4597  7 S 2.49-2.75
Hf3 0.2537 0.7500 0.5403  7 S 2.49-2.75
Hf4 0.7537 0.7500 0.9597  7 S 2.49-2.75
S1 0.8760 0.2500 0.0396  3 Hf 2.60-2.73
S2 0.4890 0.7500 0.0717  2 Ag 2.71, 3 Hf 2.74-2.75
S3 0.1853 0.2500 0.1834  1 Hf 2.49, 2 Ag 2.60-2.66
S4 0.6853 0.2500 0.3166  1 Hf 2.49, 2 Ag 2.60-2.66
S5 0.9890 0.7500 0.4283  2 Ag 2.71, 3 Hf 2.74-2.75
S6 0.3760 0.2500 0.4604  3 Hf 2.60-2.73
S7 0.6240 0.7500 0.5396  3 Hf 2.60-2.73
S8 0.0110 0.2500 0.5717  2 Ag 2.71, 3 Hf 2.74-2.75
S9 0.3147 0.7500 0.6834  1 Hf 2.49, 2 Ag 2.60-2.66
S10 0.8147 0.7500 0.8166  1 Hf 2.49, 2 Ag 2.60-2.66
S11 0.5110 0.2500 0.9283  2 Ag 2.71, 3 Hf 2.74-2.75
S12 0.1240 0.7500 0.9604  3 Hf 2.60-2.73
Tl1 0.8756 0.7500 0.1875  6 S 3.05-3.30, 4 Ag 3.22-3.31
Tl2 0.3756 0.7500 0.3125  6 S 3.05-3.30, 4 Ag 3.22-3.31
Tl3 0.6244 0.2500 0.6875  6 S 3.05-3.30, 4 Ag 3.22-3.31
Tl4 0.1244 0.2500 0.8125  6 S 3.05-3.30, 4 Ag 3.22-3.31

Results
- calculated volume (Å³/cell) = 508.80


S.
# HfTlAgS3

A geometry-optimized HfTlAgS3 structure (PBE, the Open Quantum Materials Database).

a = 7.9835 Å, b = 3.7867 Å, c = 9.9181 Å
α = 90.00°, β = 109.75°, γ = 90.00°
With the nearest neighbours (Å) after each atom.
Fractional positions:
Ag1 0.5576 0.2500 0.1117  4 S 2.48-2.69
Ag2 0.4424 0.7500 0.8883  4 S 2.48-2.69
Hf1 0.8117 0.7500 0.3452  6 S 2.52-2.62
Hf2 0.1883 0.2500 0.6548  6 S 2.52-2.62
S1 0.7725 0.7500 0.0827  1 Hf 2.52, 3 Ag 2.64-2.69
S2 0.6077 0.2500 0.3727  1 Ag 2.48, 2 Hf 2.57
S3 0.0475 0.2500 0.3753  3 Hf 2.61-2.62
S4 0.9525 0.7500 0.6247  3 Hf 2.61-2.62
S5 0.3923 0.7500 0.6273  1 Ag 2.48, 2 Hf 2.57
S6 0.2275 0.2500 0.9173  1 Hf 2.52, 3 Ag 2.64-2.69
Tl1 0.2306 0.7500 0.2020  7 S 3.22-3.47, 2 Ag 3.58
Tl2 0.7694 0.2500 0.7980  7 S 3.22-3.47, 2 Ag 3.58

Results
- calculated volume (Å³/cell) = 282.20


Which of them is the most stable? Correct choice: S.


P.
# HfTlAgS3

A geometry-optimized HfTlAgS3 structure (PBE, the Open Quantum Materials Database).

a = 3.7570 Å, b = 11.9161 Å, c = 12.2713 Å
α = 90.00°, β = 90.00°, γ = 90.00°
With the nearest neighbours (Å) after each atom.
Fractional positions:
Ag1 0.7500 0.7549 0.1846  4 S 2.52-2.66
Ag2 0.7500 0.2549 0.3154  4 S 2.52-2.66
Ag3 0.2500 0.7451 0.6846  4 S 2.52-2.66
Ag4 0.2500 0.2451 0.8154  4 S 2.52-2.66
Hf1 0.2500 0.4597 0.1542  5 S 2.42-2.64
Hf2 0.2500 0.9597 0.3458  5 S 2.42-2.64
Hf3 0.7500 0.0403 0.6542  5 S 2.42-2.64
Hf4 0.7500 0.5403 0.8458  5 S 2.42-2.64
S1 0.7500 0.5836 0.0635  1 Ag 2.52, 3 Hf 2.64-2.72
S2 0.2500 0.2567 0.1616  1 Hf 2.42, 2 Ag 2.66
S3 0.7500 0.9751 0.2031  2 Hf 2.57, 1 Ag 2.63
S4 0.7500 0.4751 0.2969  2 Hf 2.57, 1 Ag 2.63
S5 0.2500 0.7567 0.3384  1 Hf 2.42, 2 Ag 2.66
S6 0.7500 0.0836 0.4365  1 Ag 2.52, 3 Hf 2.64-2.72
S7 0.2500 0.9164 0.5635  1 Ag 2.52, 3 Hf 2.64-2.72
S8 0.7500 0.2433 0.6616  1 Hf 2.42, 2 Ag 2.66
S9 0.2500 0.5249 0.7031  2 Hf 2.57, 1 Ag 2.63
S10 0.2500 0.0249 0.7969  2 Hf 2.57, 1 Ag 2.63
S11 0.7500 0.7433 0.8384  1 Hf 2.42, 2 Ag 2.66
S12 0.2500 0.4164 0.9365  1 Ag 2.52, 3 Hf 2.64-2.72
Tl1 0.7500 0.1495 0.0103  3 S 2.93-3.15, 2 Ag 3.25
Tl2 0.7500 0.6495 0.4897  3 S 2.93-3.15, 2 Ag 3.25
Tl3 0.2500 0.3505 0.5103  3 S 2.93-3.15, 2 Ag 3.25
Tl4 0.2500 0.8505 0.9897  3 S 2.93-3.15, 2 Ag 3.25

Results
- calculated volume (Å³/cell) = 549.38


Q.
# HfTlAgS3

A geometry-optimized HfTlAgS3 structure (PBE, the Open Quantum Materials Database).

a = 14.2647 Å, b = 3.7933 Å, c = 10.4756 Å
α = 90.00°, β = 90.00°, γ = 90.00°
With the nearest neighbours (Å) after each atom.
Fractional positions:
Ag1 0.4733 0.7500 0.0931  4 S 2.50-2.69
Ag2 0.9733 0.7500 0.4069  4 S 2.50-2.69
Ag3 0.0267 0.2500 0.5931  4 S 2.50-2.69
Ag4 0.5267 0.2500 0.9069  4 S 2.50-2.69
Hf1 0.9858 0.2500 0.1653  6 S 2.50-2.64
Hf2 0.4858 0.2500 0.3347  6 S 2.50-2.64
Hf3 0.5142 0.7500 0.6653  6 S 2.50-2.64
Hf4 0.0142 0.7500 0.8347  6 S 2.50-2.64
S1 0.0870 0.7500 0.0662  3 Hf 2.60-2.64
S2 0.5940 0.2500 0.1470  1 Hf 2.50, 3 Ag 2.62-2.69
S3 0.8684 0.7500 0.2162  1 Ag 2.50, 2 Hf 2.59
S4 0.3684 0.7500 0.2838  1 Ag 2.50, 2 Hf 2.59
S5 0.0940 0.2500 0.3530  1 Hf 2.50, 3 Ag 2.62-2.69
S6 0.5870 0.7500 0.4338  3 Hf 2.60-2.64
S7 0.4130 0.2500 0.5662  3 Hf 2.60-2.64
S8 0.9060 0.7500 0.6470  1 Hf 2.50, 3 Ag 2.62-2.69
S9 0.6316 0.2500 0.7162  1 Ag 2.50, 2 Hf 2.59
S10 0.1316 0.2500 0.7838  1 Ag 2.50, 2 Hf 2.59
S11 0.4060 0.7500 0.8530  1 Hf 2.50, 3 Ag 2.62-2.69
S12 0.9130 0.2500 0.9338  3 Hf 2.60-2.64
Tl1 0.2689 0.2500 0.0290  7 S 3.23-3.57, 2 Ag 3.54
Tl2 0.7689 0.2500 0.4710  7 S 3.23-3.57, 2 Ag 3.54
Tl3 0.2311 0.7500 0.5290  7 S 3.23-3.57, 2 Ag 3.54
Tl4 0.7311 0.7500 0.9710  7 S 3.23-3.57, 2 Ag 3.54

Results
- calculated volume (Å³/cell) = 566.84


Which of them is the most stable? Correct choice: Q.